Entry 1:
The following is a PBE calculation of an optimized crystal structure of LaPr6Y2Tm, from the Alexandria database.

Unit cell a=9.640 b=8.989 c=8.989 alpha=114.70 beta=93.01 gamma=93.01
Element x y z (fractional)
1 Pr 0.818 0.447 0.002
2 Y 0.558 0.205 0.294
3 Pr 0.937 0.893 0.239
4 Y 0.442 0.795 0.706
5 Pr 0.614 0.472 0.702
6 Pr 0.318 0.002 0.447
7 La 0.750 0.044 0.956
8 Y 0.058 0.294 0.205
9 Pr 0.114 0.702 0.472
10 Pr 0.437 0.239 0.893
11 Pr 0.063 0.107 0.761
12 Y 0.942 0.706 0.795
13 Pr 0.886 0.298 0.528
14 Tm 0.750 0.589 0.411
15 Pr 0.682 0.998 0.553
16 Pr 0.386 0.528 0.298
17 La 0.250 0.956 0.044
18 Tm 0.250 0.411 0.589
19 Pr 0.563 0.761 0.107
20 Pr 0.182 0.553 0.998

Summary:
Energy (eV per atom): -4.9870
V (A^3/atom): 35.2
ΔH_f (0 K) (meV per atom): 113.4
Density of states at the Fermi level (states/eV/atom): 1.369

***

Entry 2:
The following is a PBE calculation of an optimized crystal structure of LaPr2Y2Tm2, from the Alexandria database.

Unit cell a=3.526 b=6.108 c=11.858 alpha=79.50 beta=90.00 gamma=106.78
Element x y z (fractional)
1 Tm 0.294 0.589 0.373
2 Tm 0.706 0.411 0.627
3 La 0.000 0.000 0.500
4 Pr 0.655 0.310 0.924
5 Y 0.408 0.816 0.770
6 Y 0.592 0.184 0.230
7 Pr 0.345 0.690 0.076

Summary:
Energy (eV per atom): -5.0558
V (A^3/atom): 34.3
ΔH_f (0 K) (meV per atom): 138.2
Density of states at the Fermi level (states/eV/atom): 1.698